Run w
Density functional theory data (PBE) for an optimized crystal structure of KBr2Cl.

Geometry as extended XYZ:
```
4
Lattice="-7.1777 -4.6919 2.0222 -2.4519 -8.2341 1.9522 5.2570 7.0152 0.8800" Properties=species:S:1:pos:R:3 pbc="T T T"
Br -4.8145 -6.4626 1.9871
Br -0.0003 -0.0004 0.0001
Cl -3.3678 -2.0699 2.4447
K -1.0049 -3.8409 2.4097
```

The total magnetization comes out at 0.0 μB per formula unit. The space-group type is Immm. The value obtained for the density of states at the Fermi level is 5.5 states/eV/f.u. As for the volume: 36.20 Å³/atom.

=====

Run x
Density functional theory data (PBE) for an optimized crystal structure of KBr2Cl.

Geometry as extended XYZ:
```
4
Lattice="-1.4196 5.3604 0.4533 -1.5240 2.8659 -4.5187 -5.3060 1.5380 -0.6602" Properties=species:S:1:pos:R:3 pbc="T T T"
Br 0.0000 0.0000 0.0000
Br -2.0624 2.4410 -1.1814
K -6.1872 7.3231 -3.5442
Cl -4.1248 4.8821 -2.3628
```

The total magnetization comes out at 2.0 μB per formula unit. The space-group type is F-43m. The value obtained for the density of states at the Fermi level is 3.5 states/eV/f.u. As for the volume: 30.44 Å³/atom.

=====

Run y
Density functional theory data (PBE) for an optimized crystal structure of KBr2Cl.

Geometry as extended XYZ:
```
4
Lattice="5.6121 -0.0305 -0.0423 3.5370 4.3573 -0.0423 -0.5151 -0.2436 6.6135" Properties=species:S:1:pos:R:3 pbc="T T T"
K 2.3031 1.0892 2.0952
Br 6.4123 3.0325 4.7644
Br 8.2435 3.8986 0.1816
Cl 5.1410 2.4313 2.6676
```

The total magnetization comes out at 0.0 μB per formula unit. The space-group type is Cm. The value obtained for the density of states at the Fermi level is 0.0 states/eV/f.u. As for the volume: 40.58 Å³/atom.

=====

Energy above the most stable structure, in kJ/mol of atoms: run w 17.1; run x 40.9; run y 0.0